(1)
PBEsol MnCdAs2, relaxed; total energy = -21.13 eV/cell
1.0
2.903 0.000 0.000
0.000 2.903 0.000
0.000 0.000 8.133
Mn Cd As
1 1 2
direct
0.000 0.000 0.000
0.000 0.000 0.500
0.500 0.500 0.175
0.500 0.500 0.825

***

(2)
PBEsol MnCdAs, relaxed; total energy = -15.30 eV/cell; energy relative to the lowest polymorph listed for this composition = 0.000 eV per atom
1.0
4.043 0.000 0.000
-2.022 3.502 0.000
0.000 0.000 3.734
Mn Cd As
1 1 1
direct
0.000 0.000 0.000
0.667 0.333 0.500
0.333 0.667 0.000

***

(3)
PBEsol MnCd2AsO, relaxed; total energy = -22.81 eV/cell; raw formation energy = -0.30 eV/f.u.
1.0
5.236 0.000 0.000
0.000 5.236 0.000
0.000 0.000 3.444
Mn Cd As O
1 2 1 1
direct
0.000 0.000 0.000
0.000 0.500 0.000
0.500 0.000 0.000
0.500 0.500 0.500
0.000 0.000 0.500

***

(4)
PBEsol MnCdAsSe2, relaxed; total energy = -22.70 eV/cell; raw formation energy = 1.07 eV/f.u.
1.0
4.853 0.000 0.000
0.000 4.853 0.000
0.000 0.000 4.475
Mn Cd As Se
1 1 1 2
direct
0.000 0.000 0.000
0.500 0.500 0.500
0.000 0.000 0.500
0.000 0.500 0.000
0.500 0.000 0.000

***

Q: Which of these has the highest total energy?
A: MnCdAs

***

Q: Which formula does entry 1 have?
A: MnCdAs2

***

Q: Which value of total energy does entry 1 give?
A: -21.13 eV/cell